Material: LiNi14W
Method: DFT, PBE
State: optimized geometry

Results
formation enthalpy at 0 K	-0.0200	eV/atom

a = 5.0254 Å, b = 5.0254 Å, c = 7.0931 Å
α = 90.00°, β = 90.00°, γ = 90.01°
With the nearest neighbours (Å) after each atom.
Sites, in units of the cell vectors:
Li (0.3750, 0.3750, 0.5000)  12 Ni 2.51-2.53
Ni (0.8750, 0.8750, 0.0000)  12 Ni 2.49-2.51
Ni (0.3750, 0.3750, 0.0000)  12 Ni 2.49-2.51
Ni (0.8750, 0.3750, 0.5000)  2 Li 2.51, 2 W 2.51, 8 Ni 2.53
Ni (0.8750, 0.3750, 0.0000)  12 Ni 2.49-2.51
Ni (0.3750, 0.8750, 0.5000)  2 Li 2.51, 2 W 2.51, 8 Ni 2.53
Ni (0.3750, 0.8750, 0.0000)  12 Ni 2.49-2.51
Ni (0.6246, 0.1254, 0.2461)  10 Ni 2.49-2.53, 1 Li 2.53, 1 W 2.53
Ni (0.6246, 0.1254, 0.7539)  10 Ni 2.49-2.53, 1 Li 2.53, 1 W 2.53
Ni (0.1254, 0.6246, 0.2461)  10 Ni 2.49-2.53, 1 Li 2.53, 1 W 2.53
Ni (0.1254, 0.6246, 0.7539)  10 Ni 2.49-2.53, 1 Li 2.53, 1 W 2.53
Ni (0.6245, 0.6245, 0.2461)  10 Ni 2.49-2.53, 1 Li 2.53, 1 W 2.53
Ni (0.6245, 0.6245, 0.7539)  10 Ni 2.49-2.53, 1 Li 2.53, 1 W 2.53
Ni (0.1255, 0.1255, 0.2461)  10 Ni 2.49-2.53, 1 Li 2.53, 1 W 2.53
Ni (0.1255, 0.1255, 0.7539)  10 Ni 2.49-2.53, 1 Li 2.53, 1 W 2.53
W (0.8750, 0.8750, 0.5000)  12 Ni 2.51-2.53